VASP calculation (PBE) on a relaxed RbHfCuSe4 crystal.

Properties
The density of states at the Fermi level comes out at 4.96 states/eV/f.u. As for the formation energy (no corrections): -0.83 eV/atom. As for the calculated total energy: -4.962 eV/atom.

Lattice parameters (Å, degrees): 6.873 5.603 9.821 90.00 107.56 90.00
Space group P2_1/m (No. 11)
Asymmetric unit:
Rb 0.227 0.250 0.044 [2 per cell]
Hf 0.272 0.250 0.558 [2 per cell]
Cu 0.278 0.750 0.330 [2 per cell]
Se 0.011 0.511 0.680 [4 per cell]
Se 0.438 0.750 0.583 [2 per cell]
Se 0.480 0.750 0.177 [2 per cell]